Run a
This record from Alexandria via LeMat-Bulk describes SmLu after structural relaxation. The functional is PBE.

Cell: 3.550 4.985 7.083 Å, 90.00 90.00 90.00°
Element x y z (fractional)
Sm: 0.250 0.250 0.127
Sm: 0.750 0.750 0.873
Lu: 0.250 0.250 0.621
Lu: 0.750 0.750 0.379

Results
The symmetry is Pmmn. The calculation puts the density of states at the Fermi level at 4.89 states/eV/cell. For the density, the calculation gives 8620 kg/m3. The total moment is 0.00 μB per formula unit.



Run b
This record from Alexandria via LeMat-Bulk describes SmLu after structural relaxation. The functional is PBE.

Cell: 3.994 3.994 3.994 Å, 90.00 90.00 90.00°
Element x y z (fractional)
Sm: 0.000 0.000 0.000
Lu: 0.500 0.500 0.500

Results
The symmetry is Pm-3m. The calculation puts the density of states at the Fermi level at 2.74 states/eV/cell. For the density, the calculation gives 8481 kg/m3. The total moment is 0.00 μB per formula unit.



Which structure is the most stable? The one labeled run a.



Run a
This record from Alexandria via LeMat-Bulk describes SmLuSn after structural relaxation. The functional is PBE.

Cell: 7.286 7.286 7.286 Å, 151.79 151.79 40.32°
Element x y z (fractional)
Sm: 0.000 0.000 0.000
Lu: 0.690 0.690 0.000
Sn: 0.340 0.340 0.000

Results
The symmetry is I4mm. The calculation puts the density of states at the Fermi level at 2.59 states/eV/cell. For the density, the calculation gives 8548 kg/m3. The total moment is 0.00 μB per formula unit.



Run b
This record from Alexandria via LeMat-Bulk describes SmLuSn after structural relaxation. The functional is PBE.

Cell: 5.092 5.092 3.898 Å, 90.00 90.00 120.00°
Element x y z (fractional)
Sm: 0.000 0.000 0.000
Lu: 0.333 0.667 0.458
Sn: 0.667 0.333 0.616

Results
The symmetry is P3m1. The calculation puts the density of states at the Fermi level at 1.13 states/eV/cell. For the density, the calculation gives 8425 kg/m3. The total moment is 0.00 μB per formula unit.



Which structure is the most stable? The one labeled run a.



Run a
This record from Alexandria via LeMat-Bulk describes SmLu2Sn after structural relaxation. The functional is PBE.

Cell: 4.791 4.791 4.768 Å, 90.00 90.00 90.00°
Element x y z (fractional)
Sm: 0.000 0.000 0.000
Lu: 0.000 0.500 0.500
Lu: 0.500 0.000 0.500
Sn: 0.500 0.500 0.000

Results
The symmetry is P4/mmm. The calculation puts the density of states at the Fermi level at 4.48 states/eV/cell. For the density, the calculation gives 9393 kg/m3. The total moment is 0.00 μB per formula unit.



Run b
This record from Alexandria via LeMat-Bulk describes SmLu2Sn after structural relaxation. The functional is PBE.

Cell: 3.689 3.689 8.497 Å, 90.00 90.00 90.00°
Element x y z (fractional)
Sm: 0.000 0.000 0.000
Lu: 0.500 0.500 0.281
Lu: 0.500 0.500 0.719
Sn: 0.000 0.000 0.500

Results
The symmetry is P4/mmm. The calculation puts the density of states at the Fermi level at 5.82 states/eV/cell. For the density, the calculation gives 8892 kg/m3. The total moment is 0.00 μB per formula unit.



Which structure is the most stable? The one labeled run a.



Run a
This record from Alexandria via LeMat-Bulk describes SrSm2Lu after structural relaxation. The functional is PBE.

Cell: 4.044 4.044 9.170 Å, 90.00 90.00 90.00°
Element x y z (fractional)
Sr: 0.000 0.000 0.000
Sm: 0.500 0.500 0.298
Sm: 0.500 0.500 0.702
Lu: 0.000 0.000 0.500

Results
The symmetry is P4/mmm. The calculation puts the density of states at the Fermi level at 4.35 states/eV/cell. For the density, the calculation gives 6238 kg/m3. The total moment is 0.00 μB per formula unit.



Run b
This record from Alexandria via LeMat-Bulk describes SrSm2Lu after structural relaxation. The functional is PBE.

Cell: 5.220 5.220 5.229 Å, 90.00 90.00 90.00°
Element x y z (fractional)
Sr: 0.000 0.000 0.000
Sm: 0.000 0.500 0.500
Sm: 0.500 0.000 0.500
Lu: 0.500 0.500 0.000

Results
The symmetry is P4/mmm. The calculation puts the density of states at the Fermi level at 6.61 states/eV/cell. For the density, the calculation gives 6565 kg/m3. The total moment is 0.00 μB per formula unit.



Which structure is the most stable? The one labeled run a.



Run a
This record from Alexandria via LeMat-Bulk describes TbSm2Lu after structural relaxation. The functional is PBE.

Cell: 5.057 5.057 5.019 Å, 90.00 90.00 90.00°
Element x y z (fractional)
Tb: 0.000 0.000 0.000
Sm: 0.000 0.500 0.500
Sm: 0.500 0.000 0.500
Lu: 0.500 0.500 0.000

Results
The symmetry is P4/mmm. The calculation puts the density of states at the Fermi level at 5.87 states/eV/cell. For the density, the calculation gives 8210 kg/m3. The total moment is 0.03 μB per formula unit.



Run b
This record from Alexandria via LeMat-Bulk describes TbSm2Lu after structural relaxation. The functional is PBE.

Cell: 5.685 5.685 5.685 Å, 60.00 60.00 60.00°
Element x y z (fractional)
Tb: 0.000 0.000 0.000
Sm: 0.250 0.250 0.250
Sm: 0.750 0.750 0.750
Lu: 0.500 0.500 0.500

Results
The symmetry is Fm-3m. The calculation puts the density of states at the Fermi level at 7.43 states/eV/cell. For the density, the calculation gives 8112 kg/m3. The total moment is 0.00 μB per formula unit.



Which structure is the most stable? The one labeled run a.



Run a
This record from Alexandria via LeMat-Bulk describes Sm2LuTh after structural relaxation. The functional is PBE.

Cell: 11.830 11.830 11.830 Å, 17.42 17.42 17.42°
Element x y z (fractional)
Sm: 0.250 0.250 0.250
Sm: 0.750 0.750 0.750
Lu: 0.500 0.500 0.500
Th: 0.000 0.000 0.000

Results
The symmetry is R-3m. The calculation puts the density of states at the Fermi level at 6.32 states/eV/cell. For the density, the calculation gives 9080 kg/m3. The total moment is 0.00 μB per formula unit.



Run b
This record from Alexandria via LeMat-Bulk describes Sm2LuTh after structural relaxation. The functional is PBE.

Cell: 5.691 5.691 5.691 Å, 60.00 60.00 60.00°
Element x y z (fractional)
Sm: 0.250 0.250 0.250
Sm: 0.750 0.750 0.750
Lu: 0.000 0.000 0.000
Th: 0.500 0.500 0.500

Results
The symmetry is Fm-3m. The calculation puts the density of states at the Fermi level at 10.73 states/eV/cell. For the density, the calculation gives 9018 kg/m3. The total moment is 0.03 μB per formula unit.



Which structure is the most stable? The one labeled run a.



Run a
This record from Alexandria via LeMat-Bulk describes Sm2LuTh after structural relaxation. The functional is PBE.

Cell: 5.029 5.029 5.083 Å, 90.00 90.00 90.00°
Element x y z (fractional)
Sm: 0.000 0.500 0.000
Sm: 0.500 0.000 0.000
Lu: 0.000 0.000 0.500
Th: 0.500 0.500 0.500

Results
The symmetry is P4/mmm. The calculation puts the density of states at the Fermi level at 4.75 states/eV/cell. For the density, the calculation gives 9141 kg/m3. The total moment is 0.00 μB per formula unit.



Run b
This record from Alexandria via LeMat-Bulk describes Sm2LuTh after structural relaxation. The functional is PBE.

Cell: 3.580 3.580 10.118 Å, 90.00 90.00 90.00°
Element x y z (fractional)
Sm: 0.000 0.000 0.247
Sm: 0.000 0.000 0.753
Lu: 0.500 0.500 0.500
Th: 0.500 0.500 0.000

Results
The symmetry is P4/mmm. The calculation puts the density of states at the Fermi level at 5.13 states/eV/cell. For the density, the calculation gives 9063 kg/m3. The total moment is 0.00 μB per formula unit.



Which structure is the most stable? The one labeled run a.



Run a
This record from Alexandria via LeMat-Bulk describes SmLu2Tl after structural relaxation. The functional is PBE.

Cell: 5.425 5.425 5.425 Å, 60.00 60.00 60.00°
Element x y z (fractional)
Sm: 0.000 0.000 0.000
Lu: 0.250 0.250 0.250
Lu: 0.750 0.750 0.750
Tl: 0.500 0.500 0.500

Results
The symmetry is Fm-3m. The calculation puts the density of states at the Fermi level at 5.50 states/eV/cell. For the density, the calculation gives 10366 kg/m3. The total moment is 1.59 μB per formula unit.



Run b
This record from Alexandria via LeMat-Bulk describes SmLu2Tl after structural relaxation. The functional is PBE.

Cell: 3.605 3.605 8.940 Å, 90.00 90.00 90.00°
Element x y z (fractional)
Sm: 0.000 0.000 0.000
Lu: 0.500 0.500 0.274
Lu: 0.500 0.500 0.726
Tl: 0.000 0.000 0.500

Results
The symmetry is P4/mmm. The calculation puts the density of states at the Fermi level at 3.14 states/eV/cell. For the density, the calculation gives 10074 kg/m3. The total moment is 0.00 μB per formula unit.



Which structure is the most stable? The one labeled run b.



Run a
This record from Alexandria via LeMat-Bulk describes Sm2LuTl after structural relaxation. The functional is PBE.

Cell: 12.324 12.324 12.324 Å, 16.56 16.56 16.56°
Element x y z (fractional)
Sm: 0.090 0.090 0.090
Sm: 0.910 0.910 0.910
Lu: 0.500 0.500 0.500
Tl: 0.000 0.000 0.000

Results
The symmetry is R-3m. The calculation puts the density of states at the Fermi level at 4.37 states/eV/cell. For the density, the calculation gives 8519 kg/m3. The total moment is 0.00 μB per formula unit.



Run b
This record from Alexandria via LeMat-Bulk describes Sm2LuTl after structural relaxation. The functional is PBE.

Cell: 5.512 5.512 5.512 Å, 60.00 60.00 60.00°
Element x y z (fractional)
Sm: 0.250 0.250 0.250
Sm: 0.750 0.750 0.750
Lu: 0.000 0.000 0.000
Tl: 0.500 0.500 0.500

Results
The symmetry is Fm-3m. The calculation puts the density of states at the Fermi level at 6.28 states/eV/cell. For the density, the calculation gives 9535 kg/m3. The total moment is 0.97 μB per formula unit.



Which structure is the most stable? The one labeled run b.



Run a
This record from Alexandria via LeMat-Bulk describes SmTm2Lu after structural relaxation. The functional is PBE.

Cell: 3.511 3.511 9.985 Å, 90.00 90.00 90.00°
Element x y z (fractional)
Sm: 0.000 0.000 0.000
Tm: 0.500 0.500 0.255
Tm: 0.500 0.500 0.745
Lu: 0.000 0.000 0.500

Results
The symmetry is P4/mmm. The calculation puts the density of states at the Fermi level at 5.75 states/eV/cell. For the density, the calculation gives 8949 kg/m3. The total moment is 0.00 μB per formula unit.



Run b
This record from Alexandria via LeMat-Bulk describes SmTm2Lu after structural relaxation. The functional is PBE.

Cell: 5.608 5.608 5.608 Å, 60.00 60.00 60.00°
Element x y z (fractional)
Sm: 0.000 0.000 0.000
Tm: 0.250 0.250 0.250
Tm: 0.750 0.750 0.750
Lu: 0.500 0.500 0.500

Results
The symmetry is Fm-3m. The calculation puts the density of states at the Fermi level at 8.10 states/eV/cell. For the density, the calculation gives 8832 kg/m3. The total moment is 0.00 μB per formula unit.



Which structure is the most stable? The one labeled run a.



Run a
This record from Alexandria via LeMat-Bulk describes Sm2TmLu after structural relaxation. The functional is PBE.

Cell: 3.563 3.563 9.970 Å, 90.00 90.00 90.00°
Element x y z (fractional)
Sm: 0.000 0.000 0.249
Sm: 0.000 0.000 0.751
Tm: 0.500 0.500 0.500
Lu: 0.500 0.500 0.000

Results
The symmetry is P4/mmm. The calculation puts the density of states at the Fermi level at 5.99 states/eV/cell. For the density, the calculation gives 8458 kg/m3. The total moment is 0.00 μB per formula unit.



Run b
This record from Alexandria via LeMat-Bulk describes Sm2TmLu after structural relaxation. The functional is PBE.

Cell: 5.658 5.658 5.658 Å, 60.00 60.00 60.00°
Element x y z (fractional)
Sm: 0.250 0.250 0.250
Sm: 0.750 0.750 0.750
Tm: 0.000 0.000 0.000
Lu: 0.500 0.500 0.500

Results
The symmetry is Fm-3m. The calculation puts the density of states at the Fermi level at 6.48 states/eV/cell. For the density, the calculation gives 8358 kg/m3. The total moment is 0.00 μB per formula unit.



Which structure is the most stable? The one labeled run a.



Run a
This record from Alexandria via LeMat-Bulk describes Sm2YLu after structural relaxation. The functional is PBE.

Cell: 3.582 3.582 10.047 Å, 90.00 90.00 90.00°
Element x y z (fractional)
Sm: 0.000 0.000 0.246
Sm: 0.000 0.000 0.754
Y: 0.500 0.500 0.500
Lu: 0.500 0.500 0.000

Results
The symmetry is P4/mmm. The calculation puts the density of states at the Fermi level at 6.00 states/eV/cell. For the density, the calculation gives 7272 kg/m3. The total moment is 0.00 μB per formula unit.



Run b
This record from Alexandria via LeMat-Bulk describes Sm2YLu after structural relaxation. The functional is PBE.

Cell: 5.692 5.692 5.692 Å, 60.00 60.00 60.00°
Element x y z (fractional)
Sm: 0.250 0.250 0.250
Sm: 0.750 0.750 0.750
Y: 0.000 0.000 0.000
Lu: 0.500 0.500 0.500

Results
The symmetry is Fm-3m. The calculation puts the density of states at the Fermi level at 7.08 states/eV/cell. For the density, the calculation gives 7189 kg/m3. The total moment is 0.00 μB per formula unit.



Run c
This record from Alexandria via LeMat-Bulk describes Sm2YLu after structural relaxation. The functional is PBE.

Cell: 12.601 12.601 12.601 Å, 15.94 15.94 15.94°
Element x y z (fractional)
Sm: 0.090 0.090 0.090
Sm: 0.910 0.910 0.910
Y: 0.000 0.000 0.000
Lu: 0.500 0.500 0.500

Results
The symmetry is R-3m. The calculation puts the density of states at the Fermi level at 7.27 states/eV/cell. For the density, the calculation gives 7131 kg/m3. The total moment is 0.61 μB per formula unit.



Which structure is the most stable? The one labeled run a.